No. 1
{"formula": "ThMgAl2Ag2", "functional": "PBE", "state": "optimized geometry", "lattice": [[-3.516, -0.629, -2.741], [2.320, -3.541, 1.534], [-4.351, -0.394, 5.671]], "species": ["Th", "Mg", "Al", "Al", "Ag", "Ag"], "frac_coords": [[0.000, 0.000, 0.000], [0.000, 0.000, 0.500], [0.333, 0.667, 0.274], [0.667, 0.333, 0.726], [0.333, 0.667, 0.691], [0.667, 0.333, 0.309]], "e_tot_ev_per_atom": -3.95, "ef_ev_per_atom": -0.250, "density_g_cm3": 6.95}



No. 2
{"formula": "MgTiAlAg2", "functional": "PBE", "state": "optimized geometry", "lattice": [[-3.769, 0.929, 2.814], [2.306, -2.130, 3.791], [1.934, 4.222, 1.196]], "species": ["Mg", "Al", "Ag", "Ag", "Ti"], "frac_coords": [[0.500, 0.500, 0.500], [0.000, 0.000, 0.000], [0.000, 0.000, 0.500], [0.500, 0.000, 0.000], [0.000, 0.500, 0.000]], "e_tot_ev_per_atom": -3.27, "ef_ev_per_atom": 0.518, "density_g_cm3": 4.62}



No. 3
{"formula": "TmMgAlAg", "functional": "PBE", "state": "optimized geometry", "lattice": [[4.895, 0.000, 0.000], [2.447, 4.239, 0.000], [2.447, 1.413, 3.996]], "species": ["Mg", "Tm", "Al", "Ag"], "frac_coords": [[0.000, 0.000, 0.000], [0.500, 0.500, 0.500], [0.750, 0.750, 0.750], [0.250, 0.250, 0.250]], "e_tot_ev_per_atom": -3.45, "ef_ev_per_atom": -0.287, "density_g_cm3": 6.57}